1.
K2SnCl | PBE | optimized geometry

Values from the calculation:
The space group is I-42d. Its formation energy (no corrections) is -0.621 eV/atom. The energy above the most stable polymorph in this dataset comes out at 0 meV per atom.

Cell lengths 7.6188, 7.6188, 7.6188 Å; angles 110.38, 110.38, 107.66 degrees
Fractional coordinates of all 8 atoms:
K: 0.0654 0.6250 0.9404
K: 0.3750 0.3154 0.4404
K: 0.6846 0.1250 0.0596
K: 0.8750 0.9346 0.5596
Sn: 0.2500 0.7500 0.5000
Sn: 0.5000 0.5000 0.0000
Cl: 0.0000 0.0000 0.0000
Cl: 0.7500 0.2500 0.5000

---

2.
PuZnPd3 | PBE | optimized geometry

Values from the calculation:
The space group is P6_3/mmc. As for the formation energy: -0.37 eV/atom.

Cell lengths 6.3017, 6.3017, 5.4829 Å; angles 90.00, 90.00, 120.00 degrees
Fractional coordinates of all 10 atoms:
Pu: 0.3333 0.6667 0.2500
Pu: 0.6667 0.3333 0.7500
Zn: 0.0000 0.0000 0.0000
Zn: 0.0000 0.0000 0.5000
Pd: 0.1915 0.3829 0.7500
Pd: 0.1915 0.8085 0.7500
Pd: 0.3829 0.1915 0.2500
Pd: 0.6171 0.8085 0.7500
Pd: 0.8085 0.1915 0.2500
Pd: 0.8085 0.6171 0.2500

---

no.,N(E_F) (states/eV/f.u.)
1,1.4
2,19.3